A geometry-optimized MgRh3C structure. Source: the Alexandria database, functional GGA-PBE.

Cell: 5.756 5.619 5.162 Å, 90.00 71.81 60.79°
Sites, in units of the cell vectors:
Rh 0.256 0.261 0.751
Rh 0.278 0.004 0.277
Rh 0.763 0.010 0.268
Rh 0.759 0.263 0.779
Rh 0.763 0.513 0.268
Rh 0.256 0.769 0.751
C 0.046 0.120 0.052
C 0.538 0.374 0.544
Mg 0.264 0.511 0.238
Mg 0.746 0.770 0.782

Properties
Formation energy ... -0.142 eV/atom
Electronic total energy ... -6.716 eV per atom
Space-group type ... Cm (8)